Entry 1:
The following is a DFT calculation (GGA-PBE) of a relaxed structure of RbLiBO2.

For the energy relative to the elements, uncorrected, the calculation gives -1.6640 eV per atom. Its crystal system is monoclinic. As for the density of states at the Fermi level: 1.76 states/eV/cell.

Unit cell a=7.783 b=5.167 c=6.340 alpha=90.00 beta=113.38 gamma=90.00
Space group P2/c (No. 13)
One atom of each set of equivalent atoms:
Rb 0.000 0.243 0.250 x2
Li 0.500 0.499 0.750 x2
B 0.500 0.000 0.000 x2
O 0.448 0.236 0.474 x4


Entry 2:
The following is a DFT calculation (GGA-PBE) of a relaxed structure of Ti3Te2.

For the energy relative to the elements, uncorrected, the calculation gives -0.2863 eV per atom. Its crystal system is monoclinic. As for the density of states at the Fermi level: 10.04 states/eV/cell.

Unit cell a=7.009 b=3.575 c=9.001 alpha=90.00 beta=96.22 gamma=90.00
Space group P2_1/m (No. 11)
One atom of each set of equivalent atoms:
Ti 0.144 0.250 0.482 x2
Ti 0.151 0.750 0.217 x2
Ti 0.168 0.750 0.736 x2
Te 0.222 0.250 0.967 x2
Te 0.456 0.250 0.324 x2


Entry 3:
The following is a DFT calculation (GGA-PBE) of a relaxed structure of Rb2ZrAu.

The formation enthalpy at 0 K is 0.64 eV per atom. Its crystal system is tetragonal. As for the density of states at the Fermi level: 19.21 states/eV/cell.

Unit cell a=12.395 b=12.395 c=5.436 alpha=90.00 beta=90.00 gamma=90.00
Space group I-42d (No. 122)
One atom of each set of equivalent atoms:
Rb 0.112 0.750 0.125 x8
Zr 0.000 0.000 0.500 x4
Au 0.000 0.000 0.000 x4


Entry 4:
The following is a DFT calculation (GGA-PBE) of a relaxed structure of AlPtO3.

For the energy relative to the elements, uncorrected, the calculation gives -0.8820 eV per atom. Its crystal system is cubic. As for the density of states at the Fermi level: 4.48 states/eV/cell.

Unit cell a=3.668 b=3.668 c=3.668 alpha=90.00 beta=90.00 gamma=90.00
Space group Pm-3m (No. 221)
One atom of each set of equivalent atoms:
Al 0.000 0.000 0.000 x1
Pt 0.500 0.500 0.500 x1
O 0.000 0.000 0.500 x3